Entry 1:
! PBE-GGA HgPd2, optimized geometry; values from VASP
! Total magnetization ... 0.0 μB/f.u.
! Formation energy from the elements ... -0.03 eV/f.u.
! Symmetry ... C2/c
! Crystal system ... monoclinic
! VASP energy ... -21.43 eV per cell
! V ... 17.355 A^3/atom
&SYSTEM
  ibrav = 0, nat = 6, ntyp = 2
/
ATOMIC_SPECIES
Hg 200.59 Hg.upf
Pd 106.42 Pd.upf
CELL_PARAMETERS angstrom
1.4907 -2.5837 0.0000
1.4907 2.5837 0.0000
-0.0307 0.0000 13.5177
ATOMIC_POSITIONS crystal
Hg 0.0006 0.9994 0.7500
Hg 0.9994 0.0006 0.2500
Pd 0.3334 0.6657 0.9186
Pd 0.3343 0.6666 0.5814
Pd 0.6657 0.3334 0.4186
Pd 0.6666 0.3343 0.0814

Entry 2:
! PBE-GGA Hg3Pd, optimized geometry; values from VASP
! Total magnetization ... 0.0 μB/f.u.
! Formation energy from the elements ... 0.00 eV/f.u.
! Symmetry ... Imm2
! Crystal system ... orthorhombic
! VASP energy ... -6.09 eV per cell
! V ... 22.113 A^3/atom
&SYSTEM
  ibrav = 0, nat = 4, ntyp = 2
/
ATOMIC_SPECIES
Hg 200.59 Hg.upf
Pd 106.42 Pd.upf
CELL_PARAMETERS angstrom
-1.7380 4.3765 2.9072
1.7380 -4.3765 2.9072
1.7380 4.3765 -2.9072
ATOMIC_POSITIONS crystal
Hg 0.0000 0.0000 0.0000
Hg 0.1864 0.3998 0.7866
Hg 0.6132 0.3998 0.2134
Pd 0.6191 0.1191 0.5000

Entry 3:
! PBE-GGA Hg3Pd, optimized geometry; values from VASP
! Total magnetization ... 0.0 μB/f.u.
! Formation energy from the elements ... -0.04 eV/f.u.
! Symmetry ... P4/mmm
! Crystal system ... tetragonal
! VASP energy ... -6.14 eV per cell
! V ... 21.541 A^3/atom
&SYSTEM
  ibrav = 0, nat = 4, ntyp = 2
/
ATOMIC_SPECIES
Hg 200.59 Hg.upf
Pd 106.42 Pd.upf
CELL_PARAMETERS angstrom
3.0881 0.0000 0.0000
0.0000 3.0881 0.0000
0.0000 0.0000 9.0352
ATOMIC_POSITIONS crystal
Hg 0.0000 0.0000 0.0000
Hg 0.5000 0.5000 0.2880
Hg 0.5000 0.5000 0.7120
Pd 0.0000 0.0000 0.5000

Entry 4:
! PBE-GGA Hg2Pd3, optimized geometry; values from VASP
! Total magnetization ... 0.0 μB/f.u.
! Formation energy from the elements ... -0.14 eV/f.u.
! Offset from the most stable computed form ... 96 meV per atom
! Symmetry ... Ibam
! Crystal system ... orthorhombic
! VASP energy ... -32.64 eV per cell
! V ... 19.107 A^3/atom
&SYSTEM
  ibrav = 0, nat = 10, ntyp = 2
/
ATOMIC_SPECIES
Hg 200.59 Hg.upf
Pd 106.42 Pd.upf
CELL_PARAMETERS angstrom
-3.2884 5.5810 2.6028
3.2884 -5.5810 2.6028
3.2884 5.5810 -2.6028
ATOMIC_POSITIONS crystal
Hg 0.1740 0.2472 0.4211
Hg 0.3260 0.7472 0.0732
Hg 0.6740 0.2528 0.9268
Hg 0.8260 0.7528 0.5789
Pd 0.0833 0.8484 0.9317
Pd 0.2500 0.7500 0.5000
Pd 0.4167 0.3484 0.7651
Pd 0.5833 0.6516 0.2349
Pd 0.7500 0.2500 0.5000
Pd 0.9167 0.1516 0.0683

Entry 5:
! PBE-GGA Hg3Pd, optimized geometry; values from VASP
! Total magnetization ... 0.0 μB/f.u.
! Formation energy from the elements ... 0.29 eV/f.u.
! Symmetry ... Pm-3m
! Crystal system ... cubic
! VASP energy ... -5.81 eV per cell
! V ... 20.408 A^3/atom
&SYSTEM
  ibrav = 0, nat = 4, ntyp = 2
/
ATOMIC_SPECIES
Hg 200.59 Hg.upf
Pd 106.42 Pd.upf
CELL_PARAMETERS angstrom
4.3380 0.0000 0.0000
0.0000 4.3380 0.0000
0.0000 0.0000 4.3380
ATOMIC_POSITIONS crystal
Hg 0.0000 0.0000 0.5000
Hg 0.0000 0.5000 0.0000
Hg 0.5000 0.0000 0.0000
Pd 0.5000 0.5000 0.5000

Entry 6:
! PBE-GGA Hg3Pd, optimized geometry; values from VASP
! Total magnetization ... 0.0 μB/f.u.
! Formation energy from the elements ... 0.22 eV/f.u.
! Symmetry ... Cmcm
! Crystal system ... orthorhombic
! VASP energy ... -11.75 eV per cell
! V ... 20.558 A^3/atom
&SYSTEM
  ibrav = 0, nat = 8, ntyp = 2
/
ATOMIC_SPECIES
Hg 200.59 Hg.upf
Pd 106.42 Pd.upf
CELL_PARAMETERS angstrom
3.1681 -5.4967 0.0000
3.1681 5.4967 0.0000
0.0000 0.0000 4.7221
ATOMIC_POSITIONS crystal
Hg 0.1725 0.3448 0.7500
Hg 0.1725 0.8275 0.7500
Hg 0.3448 0.1725 0.2500
Hg 0.6552 0.8275 0.7500
Hg 0.8275 0.1725 0.2500
Hg 0.8275 0.6552 0.2500
Pd 0.3333 0.6667 0.2500
Pd 0.6667 0.3333 0.7500

Entry 7:
! PBE-GGA HgPd8, optimized geometry; values from VASP
! Total magnetization ... 0.0 μB/f.u.
! Formation energy from the elements ... -0.43 eV/f.u.
! Symmetry ... I4/mmm
! Crystal system ... tetragonal
! VASP energy ... -42.27 eV per cell
! V ... 15.933 A^3/atom
&SYSTEM
  ibrav = 0, nat = 9, ntyp = 2
/
ATOMIC_SPECIES
Hg 200.59 Hg.upf
Pd 106.42 Pd.upf
CELL_PARAMETERS angstrom
-4.2409 4.2409 1.9933
4.2409 -4.2409 1.9933
4.2409 4.2409 -1.9933
ATOMIC_POSITIONS crystal
Hg 0.0000 0.0000 0.0000
Pd 0.0000 0.3360 0.3360
Pd 0.0000 0.6640 0.6640
Pd 0.3311 0.3311 0.6622
Pd 0.3311 0.6689 0.0000
Pd 0.3360 0.0000 0.3360
Pd 0.6640 0.0000 0.6640
Pd 0.6689 0.3311 0.0000
Pd 0.6689 0.6689 0.3378

Entry 8:
! PBE-GGA HgPd6, optimized geometry; values from VASP
! Total magnetization ... 0.0 μB/f.u.
! Formation energy from the elements ... 6.42 eV/f.u.
! Symmetry ... Im-3m
! Crystal system ... cubic
! VASP energy ... -25.04 eV per cell
! V ... 25.176 A^3/atom
&SYSTEM
  ibrav = 0, nat = 7, ntyp = 2
/
ATOMIC_SPECIES
Hg 200.59 Hg.upf
Pd 106.42 Pd.upf
CELL_PARAMETERS angstrom
-3.5319 3.5319 3.5319
3.5319 -3.5319 3.5319
3.5319 3.5319 -3.5319
ATOMIC_POSITIONS crystal
Hg 0.0000 0.0000 0.0000
Pd 0.2500 0.5000 0.7500
Pd 0.2500 0.7500 0.5000
Pd 0.5000 0.2500 0.7500
Pd 0.5000 0.7500 0.2500
Pd 0.7500 0.2500 0.5000
Pd 0.7500 0.5000 0.2500

Which value of V does entry 3 give? 21.541 A^3/atom

What is the formula in the seventh record? HgPd8

The lowest VASP energy belongs to which entry? HgPd8